# TiPCl3 | the Alexandria database | PBE | relaxed
data_TiPCl3
_chemical_formula_sum 'Ti1 P1 Cl3'
_space_group_name_H-M_alt 'P 1'
_space_group_IT_number 1
_cell_length_a 4.907
_cell_length_b 4.907
_cell_length_c 4.907
_cell_angle_alpha 90.00
_cell_angle_beta 90.00
_cell_angle_gamma 90.00
loop_
_space_group_symop_operation_xyz
'x,y,z'
loop_
_atom_site_label
_atom_site_type_symbol
_atom_site_fract_x
_atom_site_fract_y
_atom_site_fract_z
P1 P 0.000 0.000 0.000
Cl1 Cl 0.000 0.500 0.000
Cl2 Cl 0.000 0.000 0.500
Cl3 Cl 0.500 0.000 0.000
Ti1 Ti 0.500 0.500 0.500
# E_tot: -3.478 eV/atom
# E_form (uncorrected): 291 meV/atom
# Symmetry: Pm-3m
# Theoretical density: 2.60 g cm⁻³